Density functional theory data (PBE) for an optimized crystal structure of SrCdSi2Au5.

Summary:
- Space-group type: P4/mmm (123)
- Crystal system: tetragonal

abc: 4.649 4.649 9.717
angles: 90.00 90.00 90.00
Fractional coordinates of all 9 atoms:
Sr  0.000  0.000  0.000
Cd  0.000  0.000  0.500
Si  0.500  0.500  0.246
Si  0.500  0.500  0.754
Au  0.000  0.500  0.323
Au  0.000  0.500  0.677
Au  0.500  0.000  0.323
Au  0.500  0.000  0.677
Au  0.500  0.500  0.000

---

Density functional theory data (PBE) for an optimized crystal structure of Sr2CdSi3Au4.

Summary:
- Space-group type: P-4m2 (115)
- Crystal system: tetragonal

abc: 4.457 4.457 10.838
angles: 90.00 90.00 90.00
Fractional coordinates of all 10 atoms:
Sr  0.000  0.500  0.242
Sr  0.500  0.000  0.758
Cd  0.000  0.000  0.500
Si  0.000  0.500  0.876
Si  0.500  0.000  0.124
Si  0.500  0.500  0.500
Au  0.000  0.000  0.000
Au  0.000  0.500  0.650
Au  0.500  0.000  0.350
Au  0.500  0.500  0.000

---

Number 1: total DFT energy (no corrections) -3.5882 eV/atom. Number 2: total DFT energy (no corrections) -3.8249 eV/atom.